1.
Here is a geometry-optimized MnIn5Br7 structure from the Alexandria database. Energies are from GGA-PBE.

Energy in eV per atom: -3.262
Raw formation energy in eV/atom: -0.60
Size of the total moment in Bohr magnetons per cell: 5.0

Cell lengths 7.933, 8.869, 8.869 Å; angles 71.37, 63.43, 63.43 degrees
Fractional coordinates of all 13 atoms:
Mn 0.000 0.002 0.998
In 0.074 0.950 0.463
In 0.512 0.950 0.463
In 0.488 0.537 0.050
In 0.926 0.537 0.050
In 0.500 0.277 0.723
Br 0.000 0.747 0.253
Br 0.000 0.244 0.756
Br 0.214 0.772 0.801
Br 0.786 0.199 0.228
Br 0.500 0.647 0.353
Br 0.325 0.245 0.106
Br 0.675 0.894 0.755



2.
Here is a geometry-optimized MnIn3Br structure from the Alexandria database. Energies are from GGA-PBE.

Energy above the most stable polymorph in this dataset in meV/atom: 637.9
Energy in eV per atom: -3.098
DOS at the Fermi energy in states/eV/f.u.: 4.21
Raw formation energy in eV/atom: 0.71
Size of the total moment in Bohr magnetons per cell: 4.4

Cell lengths 5.834, 5.834, 5.834 Å; angles 90.00, 90.00, 90.00 degrees
Fractional coordinates of all 5 atoms:
Mn 0.500 0.500 0.500
Br 0.000 0.000 0.000
In 0.000 0.500 0.000
In 0.000 0.000 0.500
In 0.500 0.000 0.000



3.
Here is a geometry-optimized MnIn2Br4 structure from the Alexandria database. Energies are from GGA-PBE.

Energy above the most stable polymorph in this dataset in meV/atom: 4.0
Energy in eV per atom: -3.755
DOS at the Fermi energy in states/eV/f.u.: 0.00
Raw formation energy in eV/atom: -0.71
Size of the total moment in Bohr magnetons per cell: 10.0

Cell lengths 7.844, 7.775, 10.042 Å; angles 90.00, 116.41, 90.00 degrees
Fractional coordinates of all 14 atoms:
Mn 0.301 0.750 0.174
Mn 0.699 0.250 0.826
In 0.759 0.750 0.076
In 0.241 0.250 0.924
In 0.366 0.250 0.397
In 0.634 0.750 0.603
Br 0.516 0.494 0.222
Br 0.043 0.750 0.916
Br 0.957 0.250 0.084
Br 0.516 0.006 0.222
Br 0.817 0.250 0.633
Br 0.484 0.994 0.778
Br 0.484 0.506 0.778
Br 0.183 0.750 0.367



4.
Here is a geometry-optimized NaMnIn2Br5 structure from the Alexandria database. Energies are from GGA-PBE.

Energy in eV per atom: -3.567
DOS at the Fermi energy in states/eV/f.u.: 0.00
Raw formation energy in eV/atom: -0.86
Size of the total moment in Bohr magnetons per cell: 10.0

Cell lengths 4.142, 9.390, 15.526 Å; angles 90.00, 90.00, 102.74 degrees
Fractional coordinates of all 18 atoms:
Na 0.543 0.085 0.952
Na 0.457 0.915 0.452
Mn 0.775 0.550 0.527
Mn 0.225 0.450 0.027
In 0.863 0.726 0.785
In 0.086 0.172 0.652
In 0.137 0.274 0.285
In 0.914 0.828 0.152
Br 0.369 0.738 0.997
Br 0.703 0.406 0.915
Br 0.493 0.986 0.781
Br 0.261 0.522 0.647
Br 0.920 0.839 0.568
Br 0.631 0.262 0.497
Br 0.297 0.594 0.415
Br 0.507 0.014 0.281
Br 0.739 0.478 0.147
Br 0.080 0.161 0.068



5.
Here is a geometry-optimized NaMn2InBr6 structure from the Alexandria database. Energies are from GGA-PBE.

Energy in eV per atom: -4.134
DOS at the Fermi energy in states/eV/f.u.: 0.00
Raw formation energy in eV/atom: -0.89
Size of the total moment in Bohr magnetons per cell: 20.0

Cell lengths 7.354, 9.863, 9.863 Å; angles 88.51, 83.13, 83.13 degrees
Fractional coordinates of all 20 atoms:
Na 0.250 0.283 0.717
Na 0.750 0.717 0.283
Mn 0.215 0.782 0.612
Mn 0.285 0.388 0.218
Mn 0.785 0.218 0.388
Mn 0.715 0.612 0.782
In 0.250 0.901 0.099
In 0.750 0.099 0.901
Br 0.168 0.977 0.771
Br 0.332 0.229 0.023
Br 0.832 0.023 0.229
Br 0.668 0.771 0.977
Br 0.386 0.846 0.395
Br 0.114 0.605 0.154
Br 0.614 0.154 0.605
Br 0.886 0.395 0.846
Br 0.899 0.712 0.572
Br 0.601 0.428 0.288
Br 0.101 0.288 0.428
Br 0.399 0.572 0.712



6.
Here is a geometry-optimized NaMnIn2Br6 structure from the Alexandria database. Energies are from GGA-PBE.

Energy in eV per atom: -3.431
DOS at the Fermi energy in states/eV/f.u.: 4.91
Raw formation energy in eV/atom: -0.83
Size of the total moment in Bohr magnetons per cell: 8.6

Cell lengths 7.184, 7.854, 10.654 Å; angles 90.00, 87.58, 90.00 degrees
Fractional coordinates of all 20 atoms:
Na 0.500 0.000 0.000
Na 0.000 0.500 0.500
Mn 0.500 0.000 0.500
Mn 0.000 0.500 0.000
In 0.031 0.918 0.267
In 0.531 0.582 0.767
In 0.969 0.082 0.733
In 0.469 0.418 0.233
Br 0.307 0.673 0.049
Br 0.807 0.827 0.549
Br 0.693 0.327 0.951
Br 0.193 0.173 0.451
Br 0.340 0.710 0.422
Br 0.840 0.790 0.922
Br 0.660 0.290 0.578
Br 0.160 0.210 0.078
Br 0.856 0.562 0.235
Br 0.356 0.938 0.735
Br 0.144 0.438 0.765
Br 0.644 0.062 0.265



What did the second record say?
Here is a geometry-optimized MnIn3Br structure from the Alexandria database. Energies are from GGA-PBE.

Energy above the most stable polymorph in this dataset in meV/atom: 637.9
Energy in eV per atom: -3.098
DOS at the Fermi energy in states/eV/f.u.: 4.21
Raw formation energy in eV/atom: 0.71
Size of the total moment in Bohr magnetons per cell: 4.4

Cell lengths 5.834, 5.834, 5.834 Å; angles 90.00, 90.00, 90.00 degrees
Fractional coordinates of all 5 atoms:
Mn 0.500 0.500 0.500
Br 0.000 0.000 0.000
In 0.000 0.500 0.000
In 0.000 0.000 0.500
In 0.500 0.000 0.000